Entry 1:
Here is an optimized crystal structure of SrNbNiAg from Alexandria via LeMat-Bulk. Energies are from PBE.

Lattice parameters (Å, degrees): 4.3209 4.3209 17.9676 90.00 90.00 120.00
Space group R3m (No. 160, hexagonal axes)
Unique sites:
Sr (0.0000, 0.0000, 0.0000) (multiplicity 3)
Nb (0.0000, 0.0000, 0.8032) (multiplicity 3)
Ni (0.0000, 0.0000, 0.4769) (multiplicity 3)
Ag (0.0000, 0.0000, 0.2054) (multiplicity 3)

Values from the calculation:
The value obtained for the uncorrected energy is -4.82 eV/atom. The value obtained for the energy above the most stable polymorph in this dataset is 123.3 meV per atom. The calculated formation energy is 271.6 meV/atom.

---

Entry 2:
Here is an optimized crystal structure of YCdIn from Alexandria via LeMat-Bulk. Energies are from PBE.

Lattice parameters (Å, degrees): 6.9062 6.9062 6.9062 90.00 90.00 90.00
Space group F-43m (No. 216)
Unique sites:
Y (0.0000, 0.0000, 0.0000) (multiplicity 4)
Cd (0.2500, 0.2500, 0.7500) (multiplicity 4)
In (0.0000, 0.0000, 0.5000) (multiplicity 4)

Values from the calculation:
The value obtained for the uncorrected energy is -3.67 eV/atom. The calculated formation energy is -293.2 meV/atom.

---

Entry 3:
Here is an optimized crystal structure of Tb5Sm3Tm from Alexandria via LeMat-Bulk. Energies are from PBE.

Lattice parameters (Å, degrees): 16.4352 6.7138 11.4343 90.00 109.54 90.00
Space group C2/c (No. 15)
Unique sites:
Tb (0.0000, 0.1818, 0.2500) (multiplicity 4)
Tb (0.1074, 0.0037, 0.0450) (multiplicity 8)
Tb (0.1752, 0.3839, 0.3685) (multiplicity 8)
Sm (0.0000, 0.5000, 0.0000) (multiplicity 4)
Sm (0.2374, 0.1208, 0.8576) (multiplicity 8)
Tm (0.0000, 0.2730, 0.7500) (multiplicity 4)

Values from the calculation:
The value obtained for the uncorrected energy is -4.48 eV/atom. The value obtained for the energy above the most stable polymorph in this dataset is 0.0 meV per atom. The calculated formation energy is 165.0 meV/atom.

---

Entry 4:
Here is an optimized crystal structure of TcMo from Alexandria via LeMat-Bulk. Energies are from PBE.

Lattice parameters (Å, degrees): 6.8999 6.8999 6.8999 90.00 90.00 90.00
Space group Pm-3n (No. 223)
Unique sites:
Tc (0.0000, 0.2500, 0.5000) (multiplicity 6)
Mo (0.0000, 0.5000, 0.2500) (multiplicity 6)

Values from the calculation:
The value obtained for the uncorrected energy is -8.59 eV/atom. The value obtained for the energy above the most stable polymorph in this dataset is 1931.6 meV per atom. The calculated formation energy is 2007.5 meV/atom.

---

Entry 5:
Here is an optimized crystal structure of LaTl2Pt from Alexandria via LeMat-Bulk. Energies are from PBE.

Lattice parameters (Å, degrees): 4.7411 4.7411 15.9503 90.00 90.00 120.00
Space group R-3m (No. 166, hexagonal axes)
Unique sites:
La (0.0000, 0.0000, 0.0000) (multiplicity 3)
Tl (0.0000, 0.0000, 0.2254) (multiplicity 6)
Pt (0.0000, 0.0000, 0.5000) (multiplicity 3)

Values from the calculation:
The value obtained for the uncorrected energy is -4.31 eV/atom. The calculated formation energy is -382.9 meV/atom.

---

Entry 6:
Here is an optimized crystal structure of La8CeSm4 from Alexandria via LeMat-Bulk. Energies are from PBE.

Lattice parameters (Å, degrees): 11.9972 11.9972 11.6650 90.00 90.00 120.00
Space group R-3m (No. 166, hexagonal axes)
Unique sites:
La (0.0000, 0.0000, 0.2497) (multiplicity 6)
La (0.0025, 0.5012, 0.1696) (multiplicity 18)
Ce (0.0000, 0.0000, 0.0000) (multiplicity 3)
Sm (0.0000, 0.0000, 0.5000) (multiplicity 3)
Sm (0.0000, 0.5000, 0.5000) (multiplicity 9)

Values from the calculation:
The value obtained for the uncorrected energy is -4.57 eV/atom. The calculated formation energy is 373.1 meV/atom.

---

Entry 7:
Here is an optimized crystal structure of AsIrIN2 from Alexandria via LeMat-Bulk. Energies are from PBE.

Lattice parameters (Å, degrees): 3.7018 3.7018 8.7394 90.00 90.00 90.00
Space group P4/mmm (No. 123)
Unique sites:
As (0.0000, 0.0000, 0.0000) (multiplicity 1)
Ir (0.5000, 0.5000, 0.5000) (multiplicity 1)
I (0.0000, 0.0000, 0.5000) (multiplicity 1)
N (0.0000, 0.5000, 0.0000) (multiplicity 2)

Values from the calculation:
The formation energy without anion corrections comes out at 1732 meV/atom. The value obtained for the uncorrected energy is -4.61 eV/atom. The value obtained for the energy above the most stable polymorph in this dataset is 647.3 meV per atom.

---

Entry 8:
Here is an optimized crystal structure of Ga2CoTc2 from Alexandria via LeMat-Bulk. Energies are from PBE.

Lattice parameters (Å, degrees): 6.2474 6.2474 3.9255 90.00 90.00 90.00
Space group P4/mbm (No. 127)
Unique sites:
Ga (0.1725, 0.3275, 0.0000) (multiplicity 4)
Co (0.0000, 0.0000, 0.5000) (multiplicity 2)
Tc (0.1352, 0.6352, 0.5000) (multiplicity 4)

Values from the calculation:
The value obtained for the uncorrected energy is -6.51 eV/atom. The value obtained for the energy above the most stable polymorph in this dataset is 147.1 meV per atom. The calculated formation energy is 270.1 meV/atom.